! PuTiTcRu, relaxed, DFT PBE-GGA; values from VASP
&SYSTEM
  ibrav = 0, nat = 4, ntyp = 4
/
ATOMIC_SPECIES
Ru 101.07 Ru.upf
Ti 47.87 Ti.upf
Tc 98.00 Tc.upf
Pu 244.00 Pu.upf
CELL_PARAMETERS angstrom
4.564 0.000 0.000
2.282 3.953 0.000
2.282 1.318 3.727
ATOMIC_POSITIONS crystal
Ru 0.750 0.750 0.750
Ti 0.500 0.500 0.500
Tc 0.250 0.250 0.250
Pu 0.000 0.000 0.000
! - Fermi-level density of states: 3.97 states/eV/f.u.
! - Space group: F-43m, No. 216
! - Final energy: -42.96 eV for the cell shown
! - Magnetic moment: 4.30 μB per formula unit

***

! YAgAs2Se, relaxed, DFT PBE-GGA; values from VASP
&SYSTEM
  ibrav = 0, nat = 5, ntyp = 4
/
ATOMIC_SPECIES
As 74.92 As.upf
Ag 107.87 Ag.upf
Se 78.96 Se.upf
Y 88.91 Y.upf
CELL_PARAMETERS angstrom
-0.839 3.374 3.519
-4.875 -0.571 -0.615
-0.014 -3.695 3.539
ATOMIC_POSITIONS crystal
As 0.500 0.000 0.000
Ag 0.000 0.000 0.000
As 0.000 0.500 0.000
Se 0.000 0.000 0.500
Y 0.500 0.500 0.500
! - Relative energy among the computed polymorphs: 0.00 eV/f.u.
! - Fermi-level density of states: 3.76 states/eV/f.u.
! - Space group: P4/mmm, No. 123
! - E_form (uncorrected): 80 meV/atom
! - Final energy: -21.70 eV for the cell shown
! - Magnetic moment: 0.00 μB per formula unit

***

! TbTm2Al6, relaxed, DFT PBE-GGA; values from VASP
&SYSTEM
  ibrav = 0, nat = 9, ntyp = 3
/
ATOMIC_SPECIES
Al 26.98 Al.upf
Tb 158.93 Tb.upf
Tm 168.93 Tm.upf
CELL_PARAMETERS angstrom
-0.130 3.031 1.592
-6.079 2.136 -4.561
-1.314 -3.664 6.868
ATOMIC_POSITIONS crystal
Al 0.500 0.334 0.000
Al 0.500 0.000 0.666
Al 0.500 0.666 0.666
Al 0.500 0.000 0.334
Tb 0.000 0.000 0.000
Al 0.500 0.666 0.000
Al 0.500 0.334 0.334
Tm 0.000 0.667 0.333
Tm 0.000 0.333 0.667
! - Fermi-level density of states: 1.46 states/eV/f.u.
! - Space group: P6/mmm, No. 191
! - Final energy: -40.40 eV for the cell shown
! - Magnetic moment: 0.00 μB per formula unit

***

! MnCd2In, relaxed, DFT PBE-GGA; values from VASP
&SYSTEM
  ibrav = 0, nat = 8, ntyp = 3
/
ATOMIC_SPECIES
Cd 112.41 Cd.upf
Mn 54.94 Mn.upf
In 114.82 In.upf
CELL_PARAMETERS angstrom
4.236 0.000 0.000
0.000 4.236 0.000
2.118 2.118 10.045
ATOMIC_POSITIONS crystal
Cd 0.875 0.860 0.750
Cd 0.375 0.390 0.750
Cd 0.140 0.625 0.250
Mn 0.250 0.750 0.500
In 0.000 0.000 0.000
In 0.750 0.250 0.500
Cd 0.610 0.125 0.250
Mn 0.500 0.500 0.000
! - Fermi-level density of states: 2.77 states/eV/f.u.
! - Space group: I-42d, No. 122
! - Final energy: -24.88 eV for the cell shown
! - Magnetic moment: 3.78 μB per formula unit

***

! Ge3PbF, relaxed, DFT PBE-GGA; values from VASP
&SYSTEM
  ibrav = 0, nat = 5, ntyp = 3
/
ATOMIC_SPECIES
Ge 72.64 Ge.upf
F 19.00 F.upf
Pb 207.20 Pb.upf
CELL_PARAMETERS angstrom
4.771 0.000 0.000
0.000 4.771 0.000
0.000 0.000 4.771
ATOMIC_POSITIONS crystal
Ge 0.500 0.000 0.000
F 0.000 0.000 0.000
Ge 0.000 0.000 0.500
Pb 0.500 0.500 0.500
Ge 0.000 0.500 0.000
! - Relative energy among the computed polymorphs: 0.00 eV/f.u.
! - Fermi-level density of states: 5.27 states/eV/f.u.
! - Space group: Pm-3m, No. 221
! - E_form (uncorrected): -48 meV/atom
! - Final energy: -19.67 eV for the cell shown
! - Magnetic moment: 0.00 μB per formula unit

***

! Sn2HgAs, relaxed, DFT PBE-GGA; values from VASP
&SYSTEM
  ibrav = 0, nat = 4, ntyp = 3
/
ATOMIC_SPECIES
Sn 118.71 Sn.upf
Hg 200.59 Hg.upf
As 74.92 As.upf
CELL_PARAMETERS angstrom
-3.593 -0.042 1.832
-2.965 -2.332 -1.428
0.136 -6.451 4.560
ATOMIC_POSITIONS crystal
Sn 0.742 0.742 0.775
Sn 0.258 0.258 0.225
Hg 0.500 0.500 0.500
As 0.000 0.000 0.000
! - Relative energy among the computed polymorphs: 0.00 eV/f.u.
! - Fermi-level density of states: 1.88 states/eV/f.u.
! - Space group: R-3m, No. 166
! - Final energy: -13.03 eV for the cell shown
! - Magnetic moment: 0.00 μB per formula unit

***

> What is the magnetic moment in the sixth record?

0.00 μB per formula unit

***

> final energy of number 2 (YAgAs2Se)?

-21.70 eV for the cell shown

***

> Fermi-level density of states of number 4 (MnCd2In)?

2.77 states/eV/f.u.

***

What did the second record say?
! YAgAs2Se, relaxed, DFT PBE-GGA; values from VASP
&SYSTEM
  ibrav = 0, nat = 5, ntyp = 4
/
ATOMIC_SPECIES
As 74.92 As.upf
Ag 107.87 Ag.upf
Se 78.96 Se.upf
Y 88.91 Y.upf
CELL_PARAMETERS angstrom
-0.839 3.374 3.519
-4.875 -0.571 -0.615
-0.014 -3.695 3.539
ATOMIC_POSITIONS crystal
As 0.500 0.000 0.000
Ag 0.000 0.000 0.000
As 0.000 0.500 0.000
Se 0.000 0.000 0.500
Y 0.500 0.500 0.500
! - Relative energy among the computed polymorphs: 0.00 eV/f.u.
! - Fermi-level density of states: 3.76 states/eV/f.u.
! - Space group: P4/mmm, No. 123
! - E_form (uncorrected): 80 meV/atom
! - Final energy: -21.70 eV for the cell shown
! - Magnetic moment: 0.00 μB per formula unit